# Ta2MnZnC GGA-PBE relaxed
# **Spin magnetization**: 0.0 Bohr magnetons per cell
# **VASP energy**: -33.8 eV/cell
# **Density of states at the Fermi level**: 4.2 states/eV/cell
data_Ta2MnZnC
_chemical_formula_sum 'Ta2 Mn1 Zn1 C1'
_symmetry_space_group_name_H-M 'P 1'
_symmetry_Int_Tables_number 1
_symmetry_space_group_name_Hall 'P 1'
_cell_length_a 4.4732
_cell_length_b 4.4732
_cell_length_c 4.4558
_cell_angle_alpha 90.00
_cell_angle_beta 90.00
_cell_angle_gamma 90.00
loop_
_atom_site_label
_atom_site_type_symbol
_atom_site_fract_x
_atom_site_fract_y
_atom_site_fract_z
Ta1 Ta 0.0000 0.5000 0.0000
Ta2 Ta 0.5000 0.0000 0.0000
Mn1 Mn 0.0000 0.0000 0.0000
Zn1 Zn 0.0000 0.0000 0.5000
C1 C 0.5000 0.5000 0.5000